! Ba4Tc3AgO12 | the Alexandria database | PBE | optimized geometry; values from VASP
&SYSTEM
  ibrav = 0, nat = 20, ntyp = 4
/
ATOMIC_SPECIES
Ba 137.33 Ba.upf
Tc 98.00 Tc.upf
Ag 107.87 Ag.upf
O 16.00 O.upf
CELL_PARAMETERS angstrom
-4.153 4.153 4.153
4.153 -4.153 4.153
4.153 4.153 -4.153
ATOMIC_POSITIONS crystal
Ba 0.000 0.000 0.500
Ba 0.000 0.500 0.000
Ba 0.500 0.000 0.000
Ba 0.500 0.500 0.500
Tc 0.000 0.500 0.500
Tc 0.500 0.000 0.500
Tc 0.500 0.500 0.000
Ag 0.000 0.000 0.000
O 0.000 0.276 0.276
O 0.000 0.724 0.724
O 0.250 0.500 0.750
O 0.250 0.750 0.500
O 0.276 0.000 0.276
O 0.276 0.276 0.000
O 0.500 0.250 0.750
O 0.500 0.750 0.250
O 0.724 0.000 0.724
O 0.724 0.724 0.000
O 0.750 0.250 0.500
O 0.750 0.500 0.250
! VASP energy = -6.934 eV per atom
! calculated density = 6.6 g/cm3
! formation energy (no corrections) = -1.877 eV/atom
! Fermi-level density of states = 0.1295 states/eV per atom